A relaxed YCoRh crystal, computed with PBE.

Results
- Density: 7254 kg/m3
- Total magnetic moment: 1.668 μB per formula unit
- DFT formation energy: -0.1 eV per formula unit

Cell lengths 4.330, 4.330, 4.330 Å; angles 60.00, 60.00, 60.00 degrees
Last column: magnetic moment on the atom in μB.
Fractional coordinates of all 3 atoms:
Co: 0.750 0.750 0.750  1.36
Rh: 0.000 0.000 0.000  0.48
Y: 0.500 0.500 0.500  -0.09

=====

A relaxed Sr3Hg crystal, computed with PBE.

Results
- Density: 4341 kg/m3
- Total magnetic moment: 0.001 μB per formula unit
- DFT formation energy: -1.1 eV per formula unit

Cell lengths 7.481, 8.585, 11.041 Å; angles 90.00, 90.00, 90.00 degrees
Fractional coordinates of all 16 atoms:
Hg: 0.555 0.379 0.750
Hg: 0.055 0.121 0.250
Hg: 0.445 0.621 0.250
Hg: 0.945 0.879 0.750
Sr: 0.839 0.178 0.937
Sr: 0.339 0.322 0.063
Sr: 0.161 0.822 0.437
Sr: 0.661 0.678 0.563
Sr: 0.161 0.822 0.063
Sr: 0.661 0.678 0.937
Sr: 0.839 0.178 0.563
Sr: 0.339 0.322 0.437
Sr: 0.358 0.033 0.750
Sr: 0.858 0.467 0.250
Sr: 0.642 0.967 0.250
Sr: 0.142 0.533 0.750

=====

A relaxed BaAgRu2 crystal, computed with PBE.

Results
- Density: 9073 kg/m3
- Total magnetic moment: 1.919 μB per formula unit
- DFT formation energy: 3.9 eV per formula unit

Cell lengths 3.178, 5.077, 5.074 Å; angles 90.00, 90.00, 90.00 degrees
Last column: magnetic moment on the atom in μB.
Fractional coordinates of all 4 atoms:
Ag: 0.500 0.000 0.500  0.00
Ba: 0.000 0.500 0.500  -0.03
Ru: 0.000 0.000 0.000  1.06
Ru: 0.500 0.500 0.000  0.84

=====

A relaxed ScSeN2O crystal, computed with PBE.

Results
- Uncorrected formation energy: 0.54 eV per formula unit
- Density: 4968 kg/m3
- Total magnetic moment: 0.000 μB per formula unit

Cell lengths 3.842, 3.842, 3.803 Å; angles 90.00, 90.00, 90.00 degrees
Fractional coordinates of all 5 atoms:
Sc: 0.500 0.500 0.500
O: 0.000 0.000 0.500
Se: 0.000 0.000 0.000
N: 0.000 0.500 0.000
N: 0.500 0.000 0.000